(1)
PBE TaNiBi3, optimized geometry; spin magnetization = 1.83 μB per cell; formation energy from the elements = 0.943 eV/atom; polymorph energy (0 for the lowest one) = 0.00 kcal/mol of atoms; DOS at the Fermi energy = 5.26 states/eV per cell; density = 10932 kg/m³; E_tot = -4.913 eV per atom; V = 131.6 Å³/f.u.
1.0
5.087 0.000 0.000
0.000 5.087 0.000
0.000 0.000 5.087
Bi Ni Ta
3 1 1
Direct
0.500 0.000 0.000
0.000 0.500 0.000
0.000 0.000 0.500
0.000 0.000 0.000
0.500 0.500 0.500


(2)
PBE TaNiBi2, optimized geometry; spin magnetization = 0.00 μB per cell; formation energy from the elements = 0.634 eV/atom; DOS at the Fermi energy = 4.54 states/eV per cell; density = 12808 kg/m³; E_tot = -5.715 eV per atom; V = 85.3 Å³/f.u.
1.0
2.459 -2.685 3.340
-2.119 -1.108 4.323
-1.395 -4.643 0.949
Ta Ni Bi
1 1 2
Direct
0.500 0.500 0.500
0.000 0.000 0.000
0.250 0.250 0.250
0.750 0.750 0.750


(3)
PBE Ta2Ni2Bi, optimized geometry; spin magnetization = 0.00 μB per cell; formation energy from the elements = 0.131 eV/atom; DOS at the Fermi energy = 10.54 states/eV per cell; density = 13853 kg/m³; E_tot = -7.699 eV per atom; V = 82.5 Å³/f.u.
1.0
6.717 0.000 0.000
0.000 6.717 0.000
0.000 0.000 3.657
Ta Ni Bi
4 4 2
Direct
0.338 0.162 0.500
0.162 0.662 0.500
0.662 0.838 0.500
0.838 0.338 0.500
0.876 0.624 0.000
0.124 0.376 0.000
0.376 0.876 0.000
0.624 0.124 0.000
0.000 0.000 0.000
0.500 0.500 0.000


(4)
PBE TaNiBi3, optimized geometry; spin magnetization = 0.00 μB per cell; formation energy from the elements = 1.050 eV/atom; polymorph energy (0 for the lowest one) = 2.48 kcal/mol of atoms; DOS at the Fermi energy = 6.56 states/eV per cell; density = 8907 kg/m³; E_tot = -4.805 eV per atom; V = 161.6 Å³/f.u.
1.0
-0.148 -4.800 -2.569
4.482 1.351 -2.784
3.091 -2.190 3.914
Bi Ta Ni
3 1 1
Direct
0.000 0.000 0.500
0.000 0.500 0.000
0.500 0.000 0.000
0.000 0.000 0.000
0.500 0.500 0.500


(5)
PBE Ta2NiBi, optimized geometry; spin magnetization = 0.00 μB per cell; formation energy from the elements = 0.641 eV/atom; DOS at the Fermi energy = 9.25 states/eV per cell; density = 13358 kg/m³; E_tot = -7.701 eV per atom; V = 78.3 Å³/f.u.
1.0
3.909 0.000 0.000
0.000 3.909 0.000
1.954 1.954 10.245
Ta Bi Ni
4 2 2
Direct
0.129 0.625 0.250
0.875 0.871 0.750
0.375 0.379 0.750
0.621 0.125 0.250
0.750 0.250 0.500
0.000 0.000 0.000
0.250 0.750 0.500
0.500 0.500 0.000


(6)
PBE TaVNiBi2, optimized geometry; spin magnetization = 0.10 μB per cell; formation energy from the elements = 1.199 eV/atom; DOS at the Fermi energy = 6.33 states/eV per cell; density = 10067 kg/m³; E_tot = -5.704 eV per atom; V = 116.9 Å³/f.u.
1.0
4.988 0.000 0.000
0.000 4.698 0.000
0.000 0.000 4.988
Ta Ni Bi V
1 1 2 1
Direct
0.000 0.500 0.000
0.000 0.000 0.000
0.000 0.000 0.500
0.500 0.000 0.000
0.500 0.500 0.500


(7)
PBE Tb4NiBi2, optimized geometry; spin magnetization = 0.00 μB per cell; formation energy from the elements = -0.480 eV/atom; polymorph energy (0 for the lowest one) = 1.17 kcal/mol of atoms; DOS at the Fermi energy = 13.72 states/eV per cell; density = 9287 kg/m³; E_tot = -5.060 eV per atom; V = 198.9 Å³/f.u.
1.0
-1.552 2.524 6.273
5.628 -2.429 2.370
4.702 6.418 -4.588
Tb Bi Ni
8 4 2
Direct
0.482 0.496 0.224
0.518 0.996 0.776
0.933 0.250 0.134
0.067 0.750 0.866
0.518 0.504 0.776
0.130 0.750 0.432
0.870 0.250 0.568
0.482 0.004 0.224
0.774 0.750 0.081
0.288 0.250 0.459
0.226 0.250 0.919
0.712 0.750 0.541
0.173 0.750 0.166
0.827 0.250 0.834


(8)
PBE Tb4Ni3Bi8, optimized geometry; spin magnetization = 0.00 μB per cell; formation energy from the elements = -0.494 eV/atom; DOS at the Fermi energy = 8.17 states/eV per cell; density = 10622 kg/m³; E_tot = -4.955 eV per atom; V = 388.3 Å³/f.u.
1.0
4.551 0.000 0.000
0.000 4.551 0.000
0.000 0.000 18.748
Bi Tb Ni
8 4 3
Direct
0.000 0.000 0.751
0.500 0.500 0.249
0.000 0.500 0.424
0.500 0.000 0.576
0.000 0.000 0.249
0.500 0.500 0.751
0.500 0.000 0.071
0.000 0.500 0.929
0.500 0.000 0.889
0.500 0.000 0.387
0.000 0.500 0.613
0.000 0.500 0.111
0.500 0.500 0.500
0.000 0.000 0.500
0.000 0.000 0.000


(9)
PBE Tb4NiBi2, optimized geometry; spin magnetization = 0.00 μB per cell; formation energy from the elements = -0.530 eV/atom; polymorph energy (0 for the lowest one) = 0.00 kcal/mol of atoms; DOS at the Fermi energy = 3.93 states/eV per cell; density = 8864 kg/m³; E_tot = -5.111 eV per atom; V = 208.4 Å³/f.u.
1.0
5.016 0.000 0.000
0.000 5.016 0.000
-2.508 -2.508 8.283
Bi Tb Ni
2 4 1
Direct
0.360 0.360 0.719
0.640 0.640 0.281
0.500 0.000 0.000
0.000 0.500 0.000
0.168 0.168 0.336
0.832 0.832 0.664
0.000 0.000 0.000


(10)
PBE Tb5NiBi2, optimized geometry; spin magnetization = 0.00 μB per cell; formation energy from the elements = -0.144 eV/atom; DOS at the Fermi energy = 16.36 states/eV per cell; density = 6913 kg/m³; E_tot = -4.731 eV per atom; V = 305.4 Å³/f.u.
1.0
5.416 0.000 0.000
-2.708 8.165 0.000
0.000 0.000 13.811
Tb Bi Ni
10 4 2
Direct
0.938 0.877 0.617
0.300 0.601 0.750
0.276 0.552 0.093
0.062 0.123 0.117
0.062 0.123 0.383
0.724 0.448 0.907
0.276 0.552 0.407
0.700 0.399 0.250
0.724 0.448 0.593
0.938 0.877 0.883
0.133 0.266 0.594
0.867 0.734 0.094
0.133 0.266 0.906
0.867 0.734 0.406
0.824 0.648 0.750
0.176 0.352 0.250


(11)
PBE TbNiBi, optimized geometry; spin magnetization = 0.00 μB per cell; formation energy from the elements = -0.492 eV/atom; DOS at the Fermi energy = 2.19 states/eV per cell; density = 10193 kg/m³; E_tot = -5.256 eV per atom; V = 69.5 Å³/f.u.
1.0
-0.368 -3.071 2.764
-0.681 -2.862 -3.270
4.089 0.787 1.419
Ni Bi Tb
1 1 1
Direct
0.099 0.000 0.000
0.201 0.333 0.667
0.700 0.667 0.333


(12)
PBE TbNi2Bi, optimized geometry; spin magnetization = 0.00 μB per cell; formation energy from the elements = -0.286 eV/atom; DOS at the Fermi energy = 3.09 states/eV per cell; density = 11012 kg/m³; E_tot = -5.304 eV per atom; V = 73.2 Å³/f.u.
1.0
-3.489 -2.658 1.675
-0.014 -1.281 4.517
-3.147 1.847 2.954
Tb Bi Ni
1 1 2
Direct
0.000 0.000 0.000
0.500 0.500 0.500
0.250 0.250 0.250
0.750 0.750 0.750


(13)
PBE Tb8Ni3Bi2, optimized geometry; spin magnetization = 0.00 μB per cell; formation energy from the elements = -0.321 eV/atom; DOS at the Fermi energy = 9.40 states/eV per cell; density = 7614 kg/m³; E_tot = -5.102 eV per atom; V = 406.8 Å³/f.u.
1.0
6.728 0.000 0.274
0.000 7.813 0.000
-2.409 -3.906 7.642
Ni Tb Bi
3 8 2
Direct
0.500 0.000 0.000
0.000 0.751 0.000
0.000 0.249 0.000
0.105 0.904 0.808
0.395 0.348 0.202
0.605 0.652 0.798
0.895 0.096 0.192
0.125 0.414 0.828
0.875 0.586 0.172
0.605 0.146 0.798
0.395 0.854 0.202
0.324 0.254 0.508
0.676 0.746 0.492


(14)
PBE TbNiBi, optimized geometry; spin magnetization = 0.00 μB per cell; formation energy from the elements = -0.679 eV/atom; DOS at the Fermi energy = 0.00 states/eV per cell; density = 10298 kg/m³; E_tot = -5.443 eV per atom; V = 68.8 Å³/f.u.
1.0
-1.937 -4.090 0.819
0.386 -3.387 -3.087
2.640 -3.653 0.914
Bi Tb Ni
1 1 1
Direct
0.500 0.500 0.500
0.000 0.000 0.000
0.250 0.250 0.250


(15)
PBE TbNiBi, optimized geometry; spin magnetization = 0.00 μB per cell; formation energy from the elements = -0.529 eV/atom; DOS at the Fermi energy = 3.86 states/eV per cell; density = 10252 kg/m³; E_tot = -5.293 eV per atom; V = 69.1 Å³/f.u.
1.0
-3.263 -2.802 -1.599
4.186 -0.039 -1.889
0.474 -4.376 6.702
Tb Bi Ni
2 2 2
Direct
0.257 0.514 0.771
0.743 0.486 0.229
0.000 0.000 0.000
0.500 0.000 0.500
0.131 0.262 0.393
0.869 0.738 0.607


(16)
PBE Tc2NiBi, optimized geometry; spin magnetization = 0.00 μB per cell; formation energy from the elements = 0.575 eV/atom; polymorph energy (0 for the lowest one) = 0.88 kcal/mol of atoms; DOS at the Fermi energy = 8.39 states/eV per cell; density = 10809 kg/m³; E_tot = -7.023 eV per atom; V = 71.2 Å³/f.u.
1.0
3.867 0.000 0.000
0.000 3.867 0.000
1.933 1.933 9.528
Bi Tc Ni
2 4 2
Direct
0.000 0.000 0.000
0.750 0.250 0.500
0.875 0.805 0.750
0.555 0.125 0.250
0.195 0.625 0.250
0.375 0.445 0.750
0.500 0.500 0.000
0.250 0.750 0.500


(17)
PBE TcNi2Bi, optimized geometry; spin magnetization = 4.04 μB per cell; formation energy from the elements = 0.730 eV/atom; polymorph energy (0 for the lowest one) = 5.69 kcal/mol of atoms; DOS at the Fermi energy = 10.44 states/eV per cell; density = 10162 kg/m³; E_tot = -5.722 eV per atom; V = 69.3 Å³/f.u.
1.0
-0.638 1.148 3.747
3.219 -2.012 1.164
6.244 6.715 1.109
Ni Tc Bi
4 2 2
Direct
0.875 0.817 0.750
0.375 0.433 0.750
0.183 0.625 0.250
0.567 0.125 0.250
0.500 0.500 0.000
0.250 0.750 0.500
0.000 0.000 0.000
0.750 0.250 0.500


(18)
PBE TcNi2Bi, optimized geometry; spin magnetization = 2.94 μB per cell; formation energy from the elements = 0.483 eV/atom; polymorph energy (0 for the lowest one) = 0.00 kcal/mol of atoms; DOS at the Fermi energy = 3.52 states/eV per cell; density = 11271 kg/m³; E_tot = -5.969 eV per atom; V = 62.5 Å³/f.u.
1.0
-1.268 -3.919 1.698
-3.872 -1.819 -1.244
-0.028 -3.637 -2.572
Ni Bi Tc
2 1 1
Direct
0.750 0.750 0.750
0.250 0.250 0.250
0.500 0.500 0.500
0.000 0.000 0.000


(19)
PBE TcNi3Bi, optimized geometry; spin magnetization = 0.00 μB per cell; formation energy from the elements = 1.020 eV/atom; polymorph energy (0 for the lowest one) = 0.00 kcal/mol of atoms; DOS at the Fermi energy = 6.40 states/eV per cell; density = 8602 kg/m³; E_tot = -5.298 eV per atom; V = 93.2 Å³/f.u.
1.0
-1.986 2.378 3.311
-1.507 -3.851 1.862
3.788 -0.285 2.477
Ni Tc Bi
3 1 1
Direct
0.000 0.000 0.500
0.500 0.000 0.000
0.000 0.500 0.000
0.000 0.000 0.000
0.500 0.500 0.500


(20)
PBE Tc3NiBi, optimized geometry; spin magnetization = 0.00 μB per cell; formation energy from the elements = 2.759 eV/atom; polymorph energy (0 for the lowest one) = 34.13 kcal/mol of atoms; DOS at the Fermi energy = 14.27 states/eV per cell; density = 7808 kg/m³; E_tot = -5.393 eV per atom; V = 119.4 Å³/f.u.
1.0
4.925 0.000 0.000
0.000 4.925 0.000
0.000 0.000 4.925
Tc Ni Bi
3 1 1
Direct
0.000 0.000 0.500
0.500 0.000 0.000
0.000 0.500 0.000
0.500 0.500 0.500
0.000 0.000 0.000


(21)
PBE TcNiBi, optimized geometry; spin magnetization = 0.00 μB per cell; formation energy from the elements = 0.536 eV/atom; DOS at the Fermi energy = 5.29 states/eV per cell; density = 10393 kg/m³; E_tot = -6.140 eV per atom; V = 58.4 Å³/f.u.
1.0
-2.468 -2.513 1.607
0.293 0.233 -3.850
6.465 -6.279 0.111
Tc Ni Bi
2 2 2
Direct
0.278 0.555 0.867
0.278 0.555 0.133
0.611 0.222 0.000
0.277 0.555 0.500
0.611 0.222 0.319
0.611 0.222 0.681


(22)
PBE Tc3NiBi, optimized geometry; spin magnetization = 4.03 μB per cell; formation energy from the elements = 1.279 eV/atom; polymorph energy (0 for the lowest one) = 0.00 kcal/mol of atoms; DOS at the Fermi energy = 5.51 states/eV per cell; density = 9994 kg/m³; E_tot = -6.873 eV per atom; V = 93.3 Å³/f.u.
1.0
-3.677 0.300 2.639
2.000 -2.655 3.087
1.749 3.665 2.020
Tc Ni Bi
3 1 1
Direct
0.000 0.000 0.500
0.500 0.000 0.000
0.000 0.500 0.000
0.000 0.000 0.000
0.500 0.500 0.500


(23)
PBE Tc2NiBi, optimized geometry; spin magnetization = 0.00 μB per cell; formation energy from the elements = 0.537 eV/atom; polymorph energy (0 for the lowest one) = 0.00 kcal/mol of atoms; DOS at the Fermi energy = 4.58 states/eV per cell; density = 12092 kg/m³; E_tot = -7.061 eV per atom; V = 63.7 Å³/f.u.
1.0
2.294 -1.026 3.711
-1.673 1.035 4.027
-1.470 -3.247 2.718
Tc Bi Ni
2 1 1
Direct
0.250 0.250 0.250
0.750 0.750 0.750
0.500 0.500 0.500
0.000 0.000 0.000


(24)
PBE NiBiTe2, optimized geometry; spin magnetization = 0.00 μB per cell; E_form (uncorrected) = -33.5 kJ/mol of formula units; DOS at the Fermi energy = 2.82 states/eV per cell; density = 7772 kg/m³; E_tot = -4.073 eV per atom; V = 111.7 Å³/f.u.
1.0
2.173 0.000 9.105
-1.087 1.882 9.105
-1.087 -1.882 9.105
Ni Bi Te
1 1 2
Direct
0.500 0.500 0.500
0.000 0.000 0.000
0.116 0.116 0.116
0.884 0.884 0.884